[1]
LiAl2Ru2: relaxed, PBE.

The calculation puts the size of the total moment at 0.00 μB per formula unit. The value obtained for the energy above the lowest structure with this stoichiometry is 0.0545 eV/atom. Its crystal system is tetragonal. As for the mass density: 6.0 g cm⁻³.

abc: 6.821 6.821 3.134
angles: 90.00 90.00 90.00
Space group P4/mbm (No. 127)
Inequivalent atoms, fractional coordinates:
1 Li 0.000 0.000 0.000 (multiplicity 2)
2 Al 0.148 0.352 0.500 (multiplicity 4)
3 Ru 0.150 0.650 0.000 (multiplicity 4)



[2]
KTaNF2: relaxed, PBE.

The calculation puts the size of the total moment at 1.00 μB per formula unit. The value obtained for the energy above the lowest structure with this stoichiometry is 2.4539 eV/atom. Its crystal system is tetragonal. As for the mass density: 5.0 g cm⁻³.

abc: 4.302 4.302 4.863
angles: 90.00 90.00 90.00
Space group P4/mmm (No. 123)
Inequivalent atoms, fractional coordinates:
1 K 0.000 0.000 0.000 (multiplicity 1)
2 Ta 0.500 0.500 0.500 (multiplicity 1)
3 N 0.000 0.000 0.500 (multiplicity 1)
4 F 0.000 0.500 0.000 (multiplicity 2)



[3]
Np2MoRh9: relaxed, PBE.

The value obtained for the final energy is -8.901 eV per atom. The calculation puts the size of the total moment at 3.22 μB per formula unit. Its crystal system is tetragonal. As for the mass density: 13.2 g cm⁻³.

abc: 3.964 3.964 11.987
angles: 90.00 90.00 90.00
Space group P4/mmm (No. 123)
Inequivalent atoms, fractional coordinates:
1 Np 0.000 0.000 0.168 (multiplicity 2)
2 Mo 0.000 0.000 0.500 (multiplicity 1)
3 Rh 0.000 0.500 0.000 (multiplicity 2)
4 Rh 0.000 0.500 0.346 (multiplicity 4)
5 Rh 0.500 0.500 0.174 (multiplicity 2)
6 Rh 0.500 0.500 0.500 (multiplicity 1)



[4]
TlTcAg2: relaxed, PBE.

The calculation puts the size of the total moment at 2.08 μB per formula unit. The value obtained for the energy above the lowest structure with this stoichiometry is 0.0954 eV/atom. Its crystal system is tetragonal. As for the mass density: 11.4 g cm⁻³.

abc: 4.118 4.118 8.883
angles: 90.00 90.00 90.00
Space group I4/mmm (No. 139)
Inequivalent atoms, fractional coordinates:
1 Tl 0.000 0.000 0.000 (multiplicity 2)
2 Tc 0.000 0.000 0.500 (multiplicity 2)
3 Ag 0.000 0.500 0.250 (multiplicity 4)



[5]
CaTb3Nd7: relaxed, PBE.

The calculation puts the size of the total moment at 0.00 μB per formula unit. The value obtained for the energy above the lowest structure with this stoichiometry is 0.0000 eV/atom. Its crystal system is trigonal. As for the mass density: 6.3 g cm⁻³.

abc: 7.2626 7.2626 8.7874
angles: 90.00 90.00 120.00
Space group P3m1 (No. 156)
Inequivalent atoms, fractional coordinates:
1 Ca 0.0000 0.0000 0.0000 (multiplicity 1)
2 Tb 0.1691 0.3382 0.6576 (multiplicity 3)
3 Nd 0.0031 0.5015 0.9910 (multiplicity 3)
4 Nd 0.3333 0.6667 0.3211 (multiplicity 1)
5 Nd 0.3377 0.1689 0.3387 (multiplicity 3)



[6]
TbThSb2: relaxed, PBE.

The calculation puts the size of the total moment at 0.00 μB per formula unit. The value obtained for the energy above the lowest structure with this stoichiometry is 0.0000 eV/atom. Its crystal system is trigonal. As for the mass density: 8.4 g cm⁻³.

abc: 4.4653 4.4653 21.6977
angles: 90.00 90.00 120.00
Space group R-3m (No. 166, hexagonal axes)
Inequivalent atoms, fractional coordinates:
1 Tb 0.0000 0.0000 0.0000 (multiplicity 3)
2 Th 0.0000 0.0000 0.5000 (multiplicity 3)
3 Sb 0.0000 0.0000 0.2526 (multiplicity 6)



[7]
TbNd4Rh2: relaxed, PBE.

The value obtained for the final energy is -5.852 eV per atom. The calculation puts the size of the total moment at 0.00 μB per formula unit. Its crystal system is monoclinic. As for the mass density: 8.0 g cm⁻³.

abc: 8.055 6.524 8.139
angles: 90.00 113.94 90.00
Space group P2_1/m (No. 11)
Inequivalent atoms, fractional coordinates:
1 Tb 0.155 0.250 0.032 (multiplicity 2)
2 Nd 0.017 0.250 0.380 (multiplicity 2)
3 Nd 0.252 0.750 0.340 (multiplicity 2)
4 Nd 0.413 0.005 0.771 (multiplicity 4)
5 Rh 0.225 0.750 0.990 (multiplicity 2)
6 Rh 0.368 0.250 0.404 (multiplicity 2)



[8]
LaPm4Ga: relaxed, PBE.

The calculation puts the size of the total moment at 0.00 μB per formula unit. The value obtained for the energy above the lowest structure with this stoichiometry is 0.0000 eV/atom. Its crystal system is tetragonal. As for the mass density: 6.9 g cm⁻³.

abc: 3.675 3.675 14.117
angles: 90.00 90.00 90.00
Space group P4/mmm (No. 123)
Inequivalent atoms, fractional coordinates:
1 La 0.000 0.000 0.000 (multiplicity 1)
2 Pm 0.000 0.000 0.371 (multiplicity 2)
3 Pm 0.500 0.500 0.186 (multiplicity 2)
4 Ga 0.500 0.500 0.500 (multiplicity 1)



[9]
LiCuOs2: relaxed, PBE.

The calculation puts the size of the total moment at 0.00 μB per formula unit. The value obtained for the energy above the lowest structure with this stoichiometry is 0.2689 eV/atom. Its crystal system is orthorhombic. As for the mass density: 13.9 g cm⁻³.

abc: 5.144 8.274 2.538
angles: 90.00 90.00 90.00
Space group Cmmm (No. 65)
Inequivalent atoms, fractional coordinates:
1 Li 0.000 0.000 0.000 (multiplicity 2)
2 Cu 0.000 0.500 0.000 (multiplicity 2)
3 Os 0.250 0.250 0.500 (multiplicity 4)



[10]
BaGa4Ir2Pd: relaxed, PBE.

The value obtained for the final energy is -5.115 eV per atom. The calculation puts the size of the total moment at 0.00 μB per formula unit. Its crystal system is trigonal. As for the mass density: 9.7 g cm⁻³.

abc: 4.3164 4.3164 28.9735
angles: 90.00 90.00 120.00
Space group R-3m (No. 166, hexagonal axes)
Inequivalent atoms, fractional coordinates:
1 Ba 0.0000 0.0000 0.0000 (multiplicity 3)
2 Ga 0.0000 0.0000 0.1323 (multiplicity 6)
3 Ga 0.0000 0.0000 0.4097 (multiplicity 6)
4 Ir 0.0000 0.0000 0.2251 (multiplicity 6)
5 Pd 0.0000 0.0000 0.5000 (multiplicity 3)



[11]
Ac4PmPt5: relaxed, PBE.

The value obtained for the final energy is -6.285 eV per atom. The calculation puts the size of the total moment at 0.00 μB per formula unit. Its crystal system is tetragonal. As for the mass density: 11.6 g cm⁻³.

abc: 4.348 4.348 30.767
angles: 90.00 90.00 90.00
Space group I4/mmm (No. 139)
Inequivalent atoms, fractional coordinates:
1 Ac 0.000 0.000 0.098 (multiplicity 4)
2 Ac 0.000 0.000 0.301 (multiplicity 4)
3 Pm 0.000 0.000 0.500 (multiplicity 2)
4 Pt 0.000 0.000 0.000 (multiplicity 2)
5 Pt 0.000 0.000 0.200 (multiplicity 4)
6 Pt 0.000 0.000 0.403 (multiplicity 4)



[12]
Li2CuN2: relaxed, PBE.

The value obtained for the final energy is -4.958 eV per atom. The calculation puts the size of the total moment at 0.00 μB per formula unit. Its crystal system is tetragonal. As for the mass density: 4.1 g cm⁻³.

abc: 5.085 5.085 3.317
angles: 90.00 90.00 90.00
Space group P4/mbm (No. 127)
Inequivalent atoms, fractional coordinates:
1 Li 0.171 0.329 0.000 (multiplicity 4)
2 Cu 0.000 0.000 0.500 (multiplicity 2)
3 N 0.096 0.596 0.500 (multiplicity 4)



[13]
Ac2ZnP: relaxed, PBE.

The calculation puts the size of the total moment at 0.00 μB per formula unit. The value obtained for the energy above the lowest structure with this stoichiometry is 0.2043 eV/atom. Its crystal system is cubic. As for the mass density: 8.1 g cm⁻³.

abc: 7.659 7.659 7.659
angles: 90.00 90.00 90.00
Space group Fm-3m (No. 225)
Inequivalent atoms, fractional coordinates:
1 Ac 0.250 0.250 0.250 (multiplicity 8)
2 Zn 0.000 0.000 0.000 (multiplicity 4)
3 P 0.000 0.000 0.500 (multiplicity 4)



[14]
Si23N4: relaxed, PBE.

The value obtained for the final energy is -5.075 eV per atom. The calculation puts the size of the total moment at 11.94 μB per formula unit. Its crystal system is cubic. As for the mass density: 2.2 g cm⁻³.

abc: 10.197 10.197 10.197
angles: 90.00 90.00 90.00
Space group Pm-3n (No. 223)
Inequivalent atoms, fractional coordinates:
1 Si 0.000 0.117 0.309 (multiplicity 24)
2 Si 0.000 0.250 0.500 (multiplicity 6)
3 Si 0.183 0.183 0.183 (multiplicity 16)
4 N 0.000 0.000 0.000 (multiplicity 2)
5 N 0.000 0.500 0.250 (multiplicity 6)



[15]
Zn2Ag2Cl: relaxed, PBE.

The calculation puts the size of the total moment at 0.00 μB per formula unit. The value obtained for the energy above the lowest structure with this stoichiometry is 0.0020 eV/atom. Its crystal system is tetragonal. As for the mass density: 6.7 g cm⁻³.

abc: 7.823 7.823 3.071
angles: 90.00 90.00 90.00
Space group P4/mbm (No. 127)
Inequivalent atoms, fractional coordinates:
1 Zn 0.176 0.324 0.000 (multiplicity 4)
2 Ag 0.126 0.626 0.500 (multiplicity 4)
3 Cl 0.000 0.000 0.000 (multiplicity 2)



[16]
BeGe3S: relaxed, PBE.

The calculation puts the size of the total moment at 0.00 μB per formula unit. The value obtained for the energy above the lowest structure with this stoichiometry is 0.0000 eV/atom. Its crystal system is cubic. As for the mass density: 4.6 g cm⁻³.

abc: 4.531 4.531 4.531
angles: 90.00 90.00 90.00
Space group Pm-3m (No. 221)
Inequivalent atoms, fractional coordinates:
1 Be 0.000 0.000 0.000 (multiplicity 1)
2 Ge 0.000 0.000 0.500 (multiplicity 3)
3 S 0.500 0.500 0.500 (multiplicity 1)



[17]
Cs2AgH: relaxed, PBE.

The calculation puts the size of the total moment at 0.00 μB per formula unit. The value obtained for the energy above the lowest structure with this stoichiometry is 0.1011 eV/atom. Its crystal system is cubic. As for the mass density: 3.9 g cm⁻³.

abc: 8.573 8.573 8.573
angles: 90.00 90.00 90.00
Space group Fm-3m (No. 225)
Inequivalent atoms, fractional coordinates:
1 Cs 0.250 0.250 0.250 (multiplicity 8)
2 Ag 0.000 0.000 0.000 (multiplicity 4)
3 H 0.000 0.000 0.500 (multiplicity 4)



[18]
SnPtCN2: relaxed, PBE.

The value obtained for the final energy is -5.382 eV per atom. The calculation puts the size of the total moment at 1.35 μB per formula unit. Its crystal system is tetragonal. As for the mass density: 8.4 g cm⁻³.

abc: 4.267 4.267 3.859
angles: 90.00 90.00 90.00
Space group P4/mmm (No. 123)
Inequivalent atoms, fractional coordinates:
1 Sn 0.000 0.000 0.000 (multiplicity 1)
2 Pt 0.500 0.500 0.500 (multiplicity 1)
3 C 0.500 0.500 0.000 (multiplicity 1)
4 N 0.000 0.500 0.500 (multiplicity 2)



[19]
Rb2NiHgCl6: relaxed, PBE.

The value obtained for the final energy is -3.035 eV per atom. The calculation puts the size of the total moment at 0.09 μB per formula unit. Its crystal system is tetragonal. As for the mass density: 3.7 g cm⁻³.

abc: 7.377 7.377 10.527
angles: 90.00 90.00 90.00
Space group I4/mmm (No. 139)
Inequivalent atoms, fractional coordinates:
1 Rb 0.000 0.500 0.250 (multiplicity 4)
2 Ni 0.000 0.000 0.000 (multiplicity 2)
3 Hg 0.000 0.000 0.500 (multiplicity 2)
4 Cl 0.000 0.000 0.272 (multiplicity 4)
5 Cl 0.213 0.213 0.000 (multiplicity 8)



[20]
PrZrSn2: relaxed, PBE.

The calculation puts the size of the total moment at 0.00 μB per formula unit. The value obtained for the energy above the lowest structure with this stoichiometry is 0.0000 eV/atom. Its crystal system is tetragonal. As for the mass density: 7.5 g cm⁻³.

abc: 3.925 3.925 6.770
angles: 90.00 90.00 90.00
Space group P4/mmm (No. 123)
Inequivalent atoms, fractional coordinates:
1 Pr 0.000 0.000 0.000 (multiplicity 1)
2 Zr 0.000 0.000 0.500 (multiplicity 1)
3 Sn 0.500 0.500 0.283 (multiplicity 2)



[21]
LaTlCo2: relaxed, PBE.

The calculation puts the size of the total moment at 0.00 μB per formula unit. The value obtained for the energy above the lowest structure with this stoichiometry is 0.2550 eV/atom. Its crystal system is tetragonal. As for the mass density: 10.3 g cm⁻³.

abc: 4.562 4.562 3.558
angles: 90.00 90.00 90.00
Space group P4/mmm (No. 123)
Inequivalent atoms, fractional coordinates:
1 La 0.000 0.000 0.000 (multiplicity 1)
2 Tl 0.500 0.500 0.000 (multiplicity 1)
3 Co 0.000 0.500 0.500 (multiplicity 2)